10
Lattice="5.707 0.232 1.067 2.714 5.025 1.067 0.268 0.168 8.185" Properties=species:S:1:pos:R:3 comment="Pm2SbIr2 | Alexandria via LeMat-Bulk | PBE | relaxed" vol_a3_per_atom=22.77 total_energy_ev_per_atom=-7.076 m_tot_mub_per_fu=0.000 space_group=C2/c pbc="T T T"
Ir 0.780 1.373 0.348
Ir 7.909 4.052 9.971
Ir 1.710 0.181 4.441
Ir 6.979 5.243 5.879
Pm 6.002 2.743 4.239
Pm 5.234 4.272 8.331
Pm 3.455 1.152 1.988
Pm 2.687 2.682 6.081
Sb 3.264 4.294 3.114
Sb 5.425 1.130 7.206

=====

5
Lattice="4.940 0.000 0.000 0.000 4.940 0.000 0.000 0.000 4.841" Properties=species:S:1:pos:R:3 comment="Ce2TmAgC | Alexandria via LeMat-Bulk | PBE | relaxed" vol_a3_per_atom=23.62 delta_e_f_ev_per_atom=-0.1082 total_energy_ev_per_atom=-5.791 m_tot_mub_per_fu=1.270 space_group=P4/mmm pbc="T T T"
Ce 2.470 4.940 4.841
Ce 0.000 2.470 4.840
Ag 2.470 2.470 2.422
Tm 0.000 4.940 2.420
C 0.000 0.000 4.841

=====

14
Lattice="-0.609 0.192 -4.236 -0.586 -7.042 -0.235 -13.011 0.332 1.886" Properties=species:S:1:pos:R:3 comment="PtPb5Au | Alexandria via LeMat-Bulk | PBE | relaxed" vol_a3_per_atom=28.41 delta_e_f_ev_per_atom=-0.0779 total_energy_ev_per_atom=-4.058 m_tot_mub_per_fu=0.000 space_group=P2_1/m pbc="T T T"
Au -2.610 -0.122 -2.880
Au -11.597 -6.396 0.294
Pb -4.320 -4.354 -2.826
Pb -12.139 -4.133 -1.691
Pb -1.395 -5.698 -1.141
Pb -7.260 -4.699 -0.252
Pb -9.746 -6.418 -2.139
Pb -4.461 -0.099 -0.446
Pb -9.887 -2.164 0.241
Pb -6.946 -1.818 -2.333
Pb -2.067 -2.384 -0.894
Pb -12.812 -0.819 -1.444
Pt -9.196 -3.590 -2.090
Pt -5.010 -2.927 -0.495

=====

18
Lattice="8.840 0.016 0.052 -3.335 8.187 -0.052 -2.907 -3.998 7.329" Properties=species:S:1:pos:R:3 comment="La6ZnCu2 | Alexandria via LeMat-Bulk | PBE | relaxed" vol_a3_per_atom=29.50 delta_e_f_ev_per_atom=-0.1147 total_energy_ev_per_atom=-4.451 m_tot_mub_per_fu=0.000 space_group=Immm pbc="T T T"
La 2.540 1.533 1.296
La -0.401 3.814 2.380
La 5.159 -1.058 2.432
La 3.017 3.924 4.121
La -2.451 -1.067 6.033
La 0.059 2.672 6.033
La 2.999 0.391 4.949
La -2.560 5.263 4.897
La 6.164 1.812 0.452
La -3.566 2.393 6.877
La 5.049 5.272 1.296
La -0.419 0.281 3.208
Cu 2.085 -1.399 2.594
Cu 2.006 4.603 0.871
Cu 3.848 -2.583 4.788
Cu 0.592 -0.398 6.459
Zn 0.000 0.000 0.000
Zn -3.121 2.095 3.639

=====

12
Lattice="5.139 0.000 0.000 -2.569 7.720 0.000 0.000 0.000 10.284" Properties=species:S:1:pos:R:3 comment="TbPr3YHo | Alexandria via LeMat-Bulk | PBE | relaxed" vol_a3_per_atom=34.00 delta_e_f_ev_per_atom=0.0202 total_energy_ev_per_atom=-4.982 m_tot_mub_per_fu=0.000 space_group=Cmcm pbc="T T T"
Pr 2.569 2.543 5.140
Pr 0.000 5.177 10.282
Pr 0.000 5.177 5.143
Pr 0.000 2.549 7.713
Pr 2.569 5.172 2.571
Pr 2.569 2.543 0.001
Tb 0.000 0.000 0.000
Tb 0.000 0.000 5.142
Ho 2.569 0.018 2.571
Ho 0.000 7.702 7.713
Y 2.569 5.177 7.713
Y 0.000 2.544 2.571

=====

9
Lattice="-0.331 -1.591 -3.593 3.952 -6.162 2.364 -7.044 -0.266 2.931" Properties=species:S:1:pos:R:3 comment="K2PmCu2S4 | Alexandria via LeMat-Bulk | PBE | relaxed" vol_a3_per_atom=23.38 total_energy_ev_per_atom=-4.635 m_tot_mub_per_fu=0.000 space_group=C2/m pbc="T T T"
K 0.322 -3.713 1.614
K -3.744 -4.306 0.088
S -5.915 -2.470 1.639
S 2.492 -5.548 0.063
S -2.300 -1.482 0.868
S -1.122 -6.536 0.833
Cu -4.558 -0.753 0.753
Cu 1.136 -7.266 0.949
Pm 0.000 0.000 0.000